Record 1
Density functional theory data (PBE) for a relaxed structure of Pm6AgC3.

POSCAR file:
```
Pm6AgC3
1.0
11.078 0.000 0.000
0.000 3.685 0.000
-2.717 0.000 11.494
Pm Ag C
12 2 6
Cartesian
-0.070 0.921 1.495
0.038 2.764 5.175
-0.031 0.921 8.572
3.202 2.764 0.165
2.595 0.921 3.411
3.110 0.921 6.825
5.251 2.764 4.669
5.766 2.764 8.083
5.158 0.921 11.329
8.392 2.764 2.922
8.322 0.921 6.319
8.431 2.764 9.999
2.850 2.764 9.513
5.511 0.921 1.982
-1.394 2.764 7.454
-1.063 0.921 10.885
2.727 2.764 5.087
5.633 0.921 6.407
9.424 2.764 0.609
9.755 0.921 4.041
```

V: 23.464 Å³ per atom
DFT formation energy: -0.058 eV per atom
SG: No. 11
calculated total energy: -119.2 eV per cell
crystal system: monoclinic

=====

Record 2
Density functional theory data (PBE) for a relaxed structure of AcMg2Au6.

POSCAR file:
```
AcMg2Au6
1.0
0.000 6.091 6.091
6.091 0.000 6.091
6.091 6.091 0.000
Ac Mg Au
2 4 12
Cartesian
1.523 1.523 1.523
10.660 10.660 10.660
6.091 3.046 3.046
3.046 6.091 3.046
3.046 3.046 6.091
6.091 6.091 6.091
4.568 4.568 1.530
4.568 1.530 4.568
7.607 4.568 4.568
7.614 7.614 4.575
7.614 4.575 7.614
10.653 7.614 7.614
1.530 4.568 4.568
4.568 7.607 4.568
4.568 4.568 7.607
4.575 7.614 7.614
7.614 10.653 7.614
7.614 7.614 10.653
```

V: 25.112 Å³ per atom
DFT formation energy: -0.245 eV per atom
SG: No. 227
calculated total energy: -58.3 eV per cell
crystal system: cubic

=====

Record 3
Density functional theory data (PBE) for a relaxed structure of Nd2Zn5IrRh2.

POSCAR file:
```
Nd2Zn5IrRh2
1.0
9.752 0.000 0.000
0.000 9.752 0.000
0.000 0.000 3.785
Nd Zn Ir Rh
4 10 2 4
Cartesian
1.738 3.138 0.000
3.138 8.013 0.000
6.614 1.738 0.000
8.013 6.614 0.000
0.000 4.876 1.892
0.517 7.914 1.892
1.837 0.517 1.892
3.039 5.393 1.892
4.358 3.039 1.892
4.876 0.000 1.892
5.393 6.713 1.892
6.713 4.358 1.892
7.914 9.234 1.892
9.234 1.837 1.892
0.000 0.000 0.000
4.876 4.876 0.000
1.217 6.092 0.000
3.659 1.217 0.000
6.092 8.535 0.000
8.535 3.659 0.000
```

V: 17.996 Å³ per atom
DFT formation energy: -0.379 eV per atom
SG: No. 127
calculated total energy: -86.5 eV per cell
crystal system: tetragonal

=====

Which of these has the highest V?
AcMg2Au6

=====

Which of these has the lowest V?
Nd2Zn5IrRh2

=====

What is the calculated total energy in the second record?
-58.3 eV per cell

=====

Which of these has the highest DFT formation energy?
Pm6AgC3